(1)
DFT (GGA+U) results for a relaxed YTiCr2O6 crystal.

It has space group P1 (No. 1), with a = 5.231 Å, b = 5.306 Å, c = 5.625 Å, α = 63.85°, β = 89.87° and γ = 60.81°. Symmetry generates all atoms from Y at (0.000, 0.000, 0.000), Ti at (0.521, 0.966, 0.544), Cr at (0.219, 0.568, 0.629), Cr at (0.722, 0.550, 0.157), O at (0.172, 0.022, 0.372), O at (0.334, 0.098, 0.816), O at (0.444, 0.414, 0.369), O at (0.581, 0.498, 0.840), O at (0.815, 0.759, 0.365) and O at (0.925, 0.727, 0.839).

For the final energy, the calculation gives -84.89 eV/cell.



(2)
DFT (GGA+U) results for a relaxed ZrTiCr2O6 crystal.

It has space group P1 (No. 1), with a = 5.304 Å, b = 5.325 Å, c = 5.629 Å, α = 88.05°, β = 62.03° and γ = 61.08°. Symmetry generates all atoms from Zr at (0.000, 0.000, 0.000), Ti at (0.013, 0.493, 0.499), Cr at (0.580, 0.219, 0.627), Cr at (0.581, 0.708, 0.125), O at (0.047, 0.643, 0.821), O at (0.104, 0.763, 0.303), O at (0.452, 0.166, 0.333), O at (0.479, 0.903, 0.817), O at (0.814, 0.409, 0.324) and O at (0.824, 0.286, 0.788).

For the final energy, the calculation gives -86.07 eV/cell.